[1]
A geometry-optimized NaTl3Se2O8 structure, computed with GGA-PBE.

Computed properties:
Raw formation energy, eV per atom: -0.953
Total moment, μB/atom: 0.000
Fermi-level density of states, states/eV per atom: 0.000

Lattice parameters (Å, degrees): 6.1063 6.1063 7.8658 90.00 90.00 120.00
Space group P-3m1 (No. 164)
Asymmetric unit:
Na1 0.0000 0.0000 0.0000 x1
Tl1 0.0000 0.0000 0.5000 x1
Tl2 0.3333 0.6667 0.1802 x2
Se1 0.3333 0.6667 0.7284 x2
O1 0.1838 0.3677 0.8033 x6
O2 0.3333 0.6667 0.5170 x2

[2]
A geometry-optimized NaSmPaS4 structure, computed with GGA-PBE.

Computed properties:
Raw formation energy, eV per atom: -1.696
Total moment, μB/atom: 0.147
Fermi-level density of states, states/eV per atom: 0.851

Lattice parameters (Å, degrees): 8.223 8.259 11.687 90.00 90.00 90.00
Space group Imma (No. 74)
Asymmetric unit:
Na1 0.000 0.250 0.122 x4
Sm1 0.000 0.000 0.500 x4
Pa1 0.250 0.250 0.750 x4
S1 0.000 0.030 0.741 x8
S2 0.230 0.250 0.519 x8

[3]
A geometry-optimized RbAl3Rh structure, computed with GGA-PBE.

Computed properties:
Total moment, μB/atom: 0.000
Formation enthalpy at 0 K, eV per atom: 2.22
Distance to the lowest polymorph of the same formula, meV per atom: 2399.6
Fermi-level density of states, states/eV per atom: 1.325

Lattice parameters (Å, degrees): 5.482 5.482 5.482 90.00 90.00 90.00
Space group Pm-3m (No. 221)
Asymmetric unit:
Rb1 0.000 0.000 0.000 x1
Al1 0.000 0.000 0.500 x3
Rh1 0.500 0.500 0.500 x1

[4]
A geometry-optimized Ga2AgAu2 structure, computed with GGA-PBE.

Computed properties:
Total moment, μB/atom: 0.000
Formation enthalpy at 0 K, eV per atom: -0.05
Distance to the lowest polymorph of the same formula, meV per atom: 80.8
Fermi-level density of states, states/eV per atom: 0.277

Lattice parameters (Å, degrees): 4.900 5.151 9.023 84.37 74.28 62.57
Space group P-1 (No. 2)
Asymmetric unit:
Ga1 0.158 0.177 0.000 x2
Ga2 0.319 0.820 0.502 x2
Ag1 0.398 0.215 0.256 x2
Au1 0.084 0.858 0.246 x2
Au2 0.256 0.469 0.750 x2

[5]
A geometry-optimized Re2NiRh structure, computed with GGA-PBE.

Computed properties:
Total moment, μB/atom: 0.000
Formation enthalpy at 0 K, eV per atom: 0.17
Distance to the lowest polymorph of the same formula, meV per atom: 253.1
Fermi-level density of states, states/eV per atom: 1.062

Lattice parameters (Å, degrees): 6.081 6.081 6.081 90.00 90.00 90.00
Space group F-43m (No. 216)
Asymmetric unit:
Re1 0.000 0.000 0.000 x4
Re2 0.250 0.250 0.250 x4
Ni1 0.000 0.000 0.500 x4
Rh1 0.250 0.250 0.750 x4

[6]
A geometry-optimized KLi2La structure, computed with GGA-PBE.

Computed properties:
Total moment, μB/atom: 0.007
Formation enthalpy at 0 K, eV per atom: 0.22
Fermi-level density of states, states/eV per atom: 1.341

Lattice parameters (Å, degrees): 3.7112 3.7112 36.4276 90.00 90.00 120.00
Space group R-3m (No. 166, hexagonal axes)
Asymmetric unit:
K1 0.0000 0.0000 0.0000 x3
Li1 0.0000 0.0000 0.2430 x6
La1 0.0000 0.0000 0.5000 x3

[7]
A geometry-optimized La4CSe3 structure, computed with GGA-PBE.

Computed properties:
Raw formation energy, eV per atom: -1.528
Total moment, μB/atom: 0.000
Fermi-level density of states, states/eV per atom: 0.481

Lattice parameters (Å, degrees): 7.414 8.516 7.211 90.00 109.39 90.00
Space group P2/c (No. 13)
Asymmetric unit:
La1 0.215 0.107 0.003 x4
La2 0.229 0.347 0.474 x4
C1 0.000 0.133 0.250 x2
Se1 0.000 0.377 0.750 x2
Se2 0.500 0.124 0.750 x2
Se3 0.500 0.376 0.250 x2

[8]
A geometry-optimized NaSr3Pt structure, computed with GGA-PBE.

Computed properties:
Total moment, μB/atom: 0.000
Formation enthalpy at 0 K, eV per atom: 0.06
Distance to the lowest polymorph of the same formula, meV per atom: 498.0
Fermi-level density of states, states/eV per atom: 0.611

Lattice parameters (Å, degrees): 5.1316 5.1316 19.0464 90.00 90.00 120.00
Space group P6_3/mmc (No. 194)
Asymmetric unit:
Na1 0.3333 0.6667 0.2500 x2
Sr1 0.0000 0.0000 0.2500 x2
Sr2 0.3333 0.6667 0.0658 x4
Pt1 0.0000 0.0000 0.0000 x2